Here is crystalline Tl2HgBr2 at its relaxed geometry from Alexandria via LeMat-Bulk. Energies are from PBE.

* volume: 349.2 Å³/cell
* SG: P4/mbm, No. 127
* offset from the most stable computed form: 5.0 meV/atom
* density: 7.3 g/cm³
* energy relative to the elements, uncorrected: -0.640 eV/atom
* total DFT energy (no corrections): -23.16 eV for the cell shown
* M_tot: 0.00 μB per formula unit
* density of states at the Fermi level: 0.00 states/eV/f.u.

Lattice parameters (Å, degrees): 9.057 9.057 4.257 90.00 90.00 90.00
Fractional coordinates of all 10 atoms:
Tl 0.354 0.854 0.000
Tl 0.854 0.646 0.000
Tl 0.646 0.146 0.000
Tl 0.146 0.354 0.000
Hg 0.000 0.000 0.000
Hg 0.500 0.500 0.000
Br 0.157 0.657 0.500
Br 0.657 0.843 0.500
Br 0.843 0.343 0.500
Br 0.343 0.157 0.500